(1)
DFT (PBE-GGA) results for a relaxed structure of Cs3Np3TlSe8.

Values from the calculation:
Total magnetization = 9.005 μB per cell
Volume = 537.9 Å³ per cell
Formation energy from raw total energies = -1091 meV per atom
Fermi-level density of states = 28.2 states/eV per cell
Energy = -5.8659 eV per atom

a = 8.6688 Å, b = 8.6672 Å, c = 9.6665 Å
α = 116.66°, β = 90.00°, γ = 120.01°
With the nearest neighbours (Å) after each atom.
Atoms (fractional coordinates):
Cs  0.5000  0.5000  0.0000  6 Se 3.62-3.72
Cs  0.0000  0.5000  0.0000  6 Se 3.62-3.72
Cs  0.0000  0.0000  0.0000  6 Se 3.61-3.72
Np  0.0000  0.5000  0.5000  6 Se 2.82-2.93
Np  0.5000  0.5000  0.5000  6 Se 2.82-2.93
Np  0.5000  0.0000  0.5000  6 Se 2.82-2.93
Se  0.7536  0.0619  0.3158  2 Np 2.82
Se  0.2464  0.9381  0.6842  2 Np 2.82
Se  0.7281  0.4562  0.6841  3 Np 2.93
Se  0.2719  0.5438  0.3159  3 Np 2.93
Se  0.6918  0.9381  0.6842  2 Np 2.82
Se  0.7535  0.5069  0.3156  2 Np 2.82
Se  0.2465  0.4931  0.6844  2 Np 2.82
Se  0.3082  0.0619  0.3158  2 Np 2.82
Tl  0.0000  0.0000  0.5000  6 Se 3.17



(2)
DFT (PBE-GGA) results for a relaxed structure of Cs3TmNp2Se6.

Values from the calculation:
Total magnetization = 8.000 μB per cell
Volume = 401.7 Å³ per cell
Formation energy from raw total energies = -1377 meV per atom
Fermi-level density of states = 19.8 states/eV per cell
Energy = -5.8618 eV per atom

a = 7.4443 Å, b = 7.4443 Å, c = 8.7302 Å
α = 98.17°, β = 98.17°, γ = 120.00°
With the nearest neighbours (Å) after each atom.
Atoms (fractional coordinates):
Se  0.2660  0.2660  0.8150  1 Tm 2.89, 2 Np 2.94
Se  0.7340  0.7340  0.1850  1 Tm 2.89, 2 Np 2.94
Se  0.6108  0.9384  0.8152  1 Tm 2.89, 2 Np 2.94
Se  0.9384  0.6108  0.8152  1 Tm 2.89, 2 Np 2.94
Se  0.3892  0.0616  0.1848  1 Tm 2.89, 2 Np 2.94
Se  0.0616  0.3892  0.1848  1 Tm 2.89, 2 Np 2.94
Cs  0.5000  0.5000  0.5000  6 Se 3.61-3.65
Cs  0.1671  0.8329  0.5000  6 Se 3.61-3.65
Cs  0.8329  0.1671  0.5000  6 Se 3.61-3.65
Np  0.3334  0.6666  0.0000  6 Se 2.94
Np  0.6666  0.3334  0.0000  6 Se 2.94
Tm  0.0000  0.0000  0.0000  6 Se 2.89



(3)
DFT (PBE-GGA) results for a relaxed structure of Cs3Tm2NpSe6.

Values from the calculation:
Total magnetization = 4.001 μB per cell
Volume = 396.1 Å³ per cell
Formation energy from raw total energies = -1536 meV per atom
Fermi-level density of states = 6.3 states/eV per cell
Energy = -5.3152 eV per atom

a = 7.3900 Å, b = 7.3900 Å, c = 8.7164 Å
α = 98.10°, β = 98.10°, γ = 119.88°
With the nearest neighbours (Å) after each atom.
Atoms (fractional coordinates):
Se  0.7204  0.7204  0.1840  2 Tm 2.88, 1 Np 2.95
Se  0.0621  0.4025  0.1844  2 Tm 2.88-2.89, 1 Np 2.95
Se  0.4025  0.0621  0.1844  2 Tm 2.88-2.89, 1 Np 2.95
Se  0.5975  0.9379  0.8156  2 Tm 2.88-2.89, 1 Np 2.95
Se  0.2796  0.2796  0.8160  2 Tm 2.88, 1 Np 2.95
Se  0.9379  0.5975  0.8156  2 Tm 2.88-2.89, 1 Np 2.95
Np  0.0000  0.0000  0.0000  6 Se 2.95
Cs  0.8340  0.1660  0.5000  6 Se 3.58-3.63
Cs  0.5000  0.5000  0.5000  6 Se 3.57-3.63
Cs  0.1660  0.8340  0.5000  6 Se 3.58-3.63
Tm  0.6661  0.3339  0.0000  6 Se 2.88-2.89
Tm  0.3339  0.6661  0.0000  6 Se 2.88-2.89



(4)
DFT (PBE-GGA) results for a relaxed structure of Cs2TmNpSe4.

Values from the calculation:
Total magnetization = 4.000 μB per cell
Volume = 265.8 Å³ per cell
Formation energy from raw total energies = -1456 meV per atom
Fermi-level density of states = 7.2 states/eV per cell
Energy = -5.5882 eV per atom

a = 4.2755 Å, b = 7.4385 Å, c = 8.7135 Å
α = 106.45°, β = 90.00°, γ = 90.00°
With the nearest neighbours (Å) after each atom.
Atoms (fractional coordinates):
Tm  0.0000  0.0000  0.0000  6 Se 2.88-2.89
Np  0.5000  0.5000  0.0000  6 Se 2.93-2.96
Se  0.0000  0.2659  0.8155  1 Tm 2.88, 2 Np 2.93
Se  0.0000  0.7341  0.1845  1 Tm 2.88, 2 Np 2.93
Se  0.5000  0.2209  0.1840  2 Tm 2.89, 1 Np 2.96
Se  0.5000  0.7791  0.8160  2 Tm 2.89, 1 Np 2.96
Cs  0.5000  0.0000  0.5000  6 Se 3.58-3.60
Cs  0.0000  0.5000  0.5000  6 Se 3.64-3.65



(5)
DFT (PBE-GGA) results for a relaxed structure of Cs4TmNp3Se8.

Values from the calculation:
Total magnetization = 12.000 μB per cell
Volume = 537.1 Å³ per cell
Formation energy from raw total energies = -1341 meV per atom
Fermi-level density of states = 24.3 states/eV per cell
Energy = -6.0029 eV per atom

a = 8.6135 Å, b = 9.7276 Å, c = 8.6138 Å
α = 116.29°, β = 120.00°, γ = 90.00°
With the nearest neighbours (Å) after each atom.
Atoms (fractional coordinates):
Cs  0.0000  0.0000  0.0000  6 Se 3.61-3.63
Cs  0.5000  0.0000  0.0000  6 Se 3.65-3.66
Cs  0.0000  0.0000  0.5000  6 Se 3.61-3.63
Cs  0.5000  0.0000  0.5000  6 Se 3.61-3.63
Se  0.7281  0.6841  0.4561  3 Np 2.92
Se  0.2252  0.6847  0.4504  1 Tm 2.89, 2 Np 2.95
Se  0.7344  0.6847  0.9596  1 Tm 2.89, 2 Np 2.95
Se  0.2252  0.6847  0.9596  1 Tm 2.89, 2 Np 2.95
Se  0.2656  0.3153  0.0404  1 Tm 2.89, 2 Np 2.95
Se  0.7748  0.3153  0.5496  1 Tm 2.89, 2 Np 2.95
Se  0.7748  0.3153  0.0404  1 Tm 2.89, 2 Np 2.95
Se  0.2719  0.3159  0.5439  3 Np 2.92
Np  0.5000  0.5000  0.5000  6 Se 2.92-2.95
Np  0.5000  0.5000  0.0000  6 Se 2.92-2.95
Np  0.0000  0.5000  0.5000  6 Se 2.92-2.95
Tm  0.0000  0.5000  0.0000  6 Se 2.89



(6)
DFT (PBE-GGA) results for a relaxed structure of Cs2Tm2NpSe6.

Values from the calculation:
Total magnetization = 3.000 μB per cell
Volume = 384.7 Å³ per cell
Formation energy from raw total energies = -1569 meV per atom
Fermi-level density of states = 3.9 states/eV per cell
Energy = -5.6145 eV per atom

a = 7.1938 Å, b = 7.1938 Å, c = 8.9278 Å
α = 97.85°, β = 97.85°, γ = 120.04°
With the nearest neighbours (Å) after each atom.
Atoms (fractional coordinates):
Cs  0.8321  0.1679  0.0000  6 Se 3.63-3.65
Cs  0.1679  0.8321  0.0000  6 Se 3.63-3.65
Tm  0.6668  0.3332  0.5000  6 Se 2.86
Tm  0.3332  0.6668  0.5000  6 Se 2.86
Se  0.6066  0.9386  0.3193  1 Np 2.85, 2 Tm 2.86
Se  0.7287  0.7287  0.6804  1 Np 2.85, 2 Tm 2.86
Se  0.0614  0.3934  0.6807  1 Np 2.85, 2 Tm 2.86
Se  0.2713  0.2713  0.3196  1 Np 2.85, 2 Tm 2.86
Se  0.3934  0.0614  0.6807  1 Np 2.85, 2 Tm 2.86
Se  0.9386  0.6066  0.3193  1 Np 2.85, 2 Tm 2.86
Np  0.0000  0.0000  0.5000  6 Se 2.85